# 1
## Li2Sc2SnPt2Pb (PBE)

Data for a relaxed Li2Sc2SnPt2Pb crystal.

- Volume: 17.690 Å³ per atom
- SG: No. 115
- Total energy: -42.85 eV/cell

Lattice parameters (Å, degrees): 4.641 4.641 6.569 90.00 90.00 90.00
Positions (direct):
Li 0.000 0.500 0.247
Li 0.500 0.000 0.753
Sc 0.000 0.000 0.000
Sc 0.500 0.500 0.500
Sn 0.500 0.500 0.000
Pt 0.000 0.500 0.760
Pt 0.500 0.000 0.240
Pb 0.000 0.000 0.500

***

# 2
## Li2YScPt2Pb2 (PBE)

Data for a relaxed Li2YScPt2Pb2 crystal.

- Volume: 19.074 Å³ per atom
- SG: No. 115
- Total energy: -41.90 eV/cell

Lattice parameters (Å, degrees): 4.756 4.756 6.746 90.00 90.00 90.00
Positions (direct):
Li 0.000 0.500 0.234
Li 0.500 0.000 0.766
Y 0.000 0.000 0.500
Sc 0.500 0.500 0.000
Pt 0.000 0.500 0.764
Pt 0.500 0.000 0.236
Pb 0.000 0.000 0.000
Pb 0.500 0.500 0.500

***

# 3
## Li4SiPt2Pb (PBE)

Data for a relaxed Li4SiPt2Pb crystal.

- Volume: 14.792 Å³ per atom
- SG: No. 115
- Total energy: -33.56 eV/cell

Lattice parameters (Å, degrees): 4.215 4.215 6.660 90.00 90.00 90.00
Positions (direct):
Li 0.000 0.000 0.000
Li 0.000 0.500 0.718
Li 0.500 0.000 0.282
Li 0.500 0.500 0.500
Si 0.000 0.000 0.500
Pt 0.000 0.500 0.296
Pt 0.500 0.000 0.704
Pb 0.500 0.500 0.000

***

# 4
## LiTlPtPb (PBE)

Data for a relaxed LiTlPtPb crystal.

- Offset from the most stable computed form: 0.0 meV/atom
- Volume: 20.668 Å³ per atom
- SG: No. 216
- Total energy: -14.85 eV/cell

Lattice parameters (Å, degrees): 4.890 4.890 4.890 60.00 60.00 60.00
Positions (direct):
Li 0.000 0.000 0.000
Tl 0.750 0.750 0.750
Pt 0.500 0.500 0.500
Pb 0.250 0.250 0.250

***

> Which value of total energy does entry 1 give?

-42.85 eV/cell